{"formula": "TaAsRu4", "functional": "GGA-PBE", "state": "optimized geometry", "volume_a3_per_atom": 15.80, "energy_ev_per_atom": -8.590, "density_g_cm3": 11.56, "delta_e_f_ev_per_atom": 0.3438, "lattice_angstrom": [[0.000, 3.619, 3.619], [3.619, 0.000, 3.619], [3.619, 3.619, 0.000]], "species": ["Ta", "As", "Ru", "Ru", "Ru", "Ru"], "fractional_positions": [[0.000, 0.000, 0.000], [0.750, 0.750, 0.750], [0.375, 0.375, 0.375], [0.375, 0.375, 0.875], [0.375, 0.875, 0.375], [0.875, 0.375, 0.375]]}

{"formula": "InHg3", "functional": "GGA-PBE", "state": "optimized geometry", "volume_a3_per_atom": 27.12, "energy_ev_per_atom": -0.903, "density_g_cm3": 10.97, "delta_e_f_ev_per_atom": 0.0081, "lattice_angstrom": [[1.720, 0.993, 10.586], [-1.720, 0.993, 10.586], [0.000, -1.986, 10.586]], "species": ["In", "Hg", "Hg", "Hg"], "fractional_positions": [[0.000, 0.000, 0.000], [0.250, 0.250, 0.250], [0.500, 0.500, 0.500], [0.750, 0.750, 0.750]]}

{"formula": "ScTlCo2", "functional": "GGA-PBE", "state": "optimized geometry", "volume_a3_per_atom": 15.38, "energy_ev_per_atom": -5.719, "density_g_cm3": 9.91, "delta_e_f_ev_per_atom": 0.0084, "lattice_angstrom": [[4.240, 0.000, 0.000], [0.000, 4.240, 0.000], [0.000, 0.000, 3.421]], "species": ["Sc", "Tl", "Co", "Co"], "fractional_positions": [[0.000, 0.000, 0.000], [0.500, 0.500, 0.000], [0.000, 0.500, 0.500], [0.500, 0.000, 0.500]]}